ZrFeCuGe | PBE | optimized geometry

Unit cell a=4.365 b=4.365 c=4.365 alpha=60.00 beta=60.00 gamma=60.00
Fractional positions:
Zr (0.000, 0.000, 0.000)
Fe (0.250, 0.250, 0.250)
Cu (0.750, 0.750, 0.750)
Ge (0.500, 0.500, 0.500)

Properties
- Crystal system: cubic
- Volume: 14.70 A^3/atom
- Space-group type: F-43m (216)
- DFT total energy: -6.46 eV per atom
- Size of the total moment: 1.1 Bohr magnetons per cell